No. 1
Entry from the Alexandria database: an optimized crystal structure of AlInCo (GGA-PBE).

```
3
Lattice="2.998 0.000 0.000 -1.499 2.596 0.000 0.000 0.000 6.373" Properties=species:S:1:pos:R:3 pbc="T T T"
Co 1.499 0.865 1.998
Al 0.000 0.000 0.284
In 0.000 1.731 4.090
```

Output
E: -4.4320 eV/atom


No. 2
Entry from the Alexandria database: an optimized crystal structure of AlInCo2 (GGA-PBE).

```
4
Lattice="-6.067 5.079 3.147 -7.434 2.519 3.301 -5.640 3.339 5.436" Properties=species:S:1:pos:R:3 pbc="T T T"
Co -19.073 10.898 11.841
Co -4.985 2.848 3.095
Al -14.122 8.069 8.767
In -9.672 5.526 6.004
```

Output
E: -4.9466 eV/atom